The following is a meta-GGA SCAN calculation of a PBEsol-optimized structure of GaPbO2F, from Alexandria.

The structure in POSCAR format:
```
GaPbO2F
1.0
4.2000 0.0000 0.0000
0.0000 4.2000 0.0000
0.0000 0.0000 4.4622
Ga Pb O F
1 1 2 1
direct
0.0000 0.0000 0.0000
0.5000 0.5000 0.5000
0.0000 0.5000 0.5000
0.5000 0.0000 0.5000
0.5000 0.5000 0.0000
```

Properties
**Space-group type**: P4/mmm, No. 123
**Raw formation energy**: -0.858 eV/atom
**ρ**: 6.918 g/cm³
**E**: -22.484 eV per atom



The following is a meta-GGA SCAN calculation of a PBEsol-optimized structure of B, from Alexandria.

The structure in POSCAR format:
```
B
1.0
5.0274 0.0000 0.0000
0.0000 5.5970 0.0000
0.0000 0.0000 6.8674
B
28
direct
0.1482 0.2286 0.0000
0.1525 0.4080 0.2106
0.1525 0.4080 0.7894
0.1602 0.7186 0.1260
0.1602 0.7186 0.8740
0.1646 0.9915 0.5000
0.1708 0.4774 0.5000
0.3292 0.9774 0.0000
0.3354 0.4915 0.0000
0.3398 0.2186 0.3740
0.3398 0.2186 0.6260
0.3475 0.9080 0.2894
0.3475 0.9080 0.7106
0.3518 0.7286 0.5000
0.6482 0.2714 0.5000
0.6525 0.0920 0.2894
0.6525 0.0920 0.7106
0.6602 0.7814 0.3740
0.6602 0.7814 0.6260
0.6646 0.5085 0.0000
0.6708 0.0226 0.0000
0.8292 0.5226 0.5000
0.8354 0.0085 0.5000
0.8398 0.2814 0.1260
0.8398 0.2814 0.8740
0.8475 0.5920 0.2106
0.8475 0.5920 0.7894
0.8518 0.7714 0.0000
```

Properties
**Energy relative to the elements**: 0.000 eV/atom
**Space-group type**: Pnnm, No. 58
**ρ**: 2.601 g/cm³
**E**: -7.429 eV per atom
**Excess energy over the best structure of this formula in the dataset**: 0 meV per atom